No. 1
Computed, not measured: an optimized crystal structure of Ba2CaGa2O6 at the PBE level of DFT.

Calculated values
- Energy relative to the elements, uncorrected: -2.28 eV per atom
- Calculated total energy: -6.065 eV/atom

Structure (POSCAR):
```
Ba2CaGa2O6
1.0
6.068 0.000 0.000
3.034 5.255 0.000
3.034 1.752 6.072
Ba Ca Ga O
2 1 2 6
Direct
0.794 0.794 0.619 Ba
0.206 0.206 0.381 Ba
0.000 0.000 0.000 Ca
0.419 0.419 0.742 Ga
0.581 0.581 0.258 Ga
0.748 0.748 0.265 O
0.238 0.748 0.265 O
0.748 0.238 0.265 O
0.252 0.762 0.735 O
0.762 0.252 0.735 O
0.252 0.252 0.735 O
```

***

No. 2
Computed, not measured: an optimized crystal structure of Cu3RuAu at the PBE level of DFT.

Calculated values
- Calculated total energy: -3.555 eV/atom
- Offset from the most stable computed form: 0.112 eV/atom

Structure (POSCAR):
```
Cu3RuAu
1.0
-1.853 -4.266 0.370
1.075 -0.073 4.540
-4.145 1.888 1.012
Ru Au Cu
1 1 3
Direct
0.500 0.500 0.500 Ru
0.000 0.000 0.000 Au
0.000 0.500 0.000 Cu
0.000 0.000 0.500 Cu
0.500 0.000 0.000 Cu
```

***

No. 3
Computed, not measured: an optimized crystal structure of Ca3DyTl4 at the PBE level of DFT.

Calculated values
- Calculated total energy: -2.924 eV/atom

Structure (POSCAR):
```
Ca3DyTl4
1.0
-2.130 -1.940 -2.527
1.108 -3.302 1.600
-12.239 0.650 9.817
Ca Tl Dy
3 4 1
Direct
0.500 0.500 0.248 Ca
0.500 0.500 0.500 Ca
0.500 0.500 0.752 Ca
0.000 0.000 0.879 Tl
0.000 0.000 0.121 Tl
0.000 0.000 0.373 Tl
0.000 0.000 0.627 Tl
0.500 0.500 0.000 Dy
```

***

No. 4
Computed, not measured: an optimized crystal structure of KTcOs2 at the PBE level of DFT.

Calculated values
- Calculated total energy: -6.542 eV/atom
- Offset from the most stable computed form: 1.251 eV/atom

Structure (POSCAR):
```
KTcOs2
1.0
-2.763 3.421 -1.208
-1.489 0.070 3.603
2.721 2.578 1.075
K Os Tc
1 2 1
Direct
0.500 0.000 0.500 K
0.000 0.000 0.000 Os
0.000 0.500 0.500 Os
0.500 0.500 0.000 Tc
```

***

No. 5
Computed, not measured: an optimized crystal structure of Tb2H2SeI at the PBE level of DFT.

Calculated values
- Calculated total energy: -4.604 eV/atom

Structure (POSCAR):
```
Tb2H2SeI
1.0
3.871 0.000 0.000
-1.935 3.352 0.000
0.000 0.000 8.830
Tb H Se I
2 2 1 1
Direct
0.333 0.667 0.710 Tb
0.667 0.333 0.290 Tb
0.333 0.667 0.257 H
0.667 0.333 0.743 H
0.000 0.000 0.500 Se
0.000 0.000 0.000 I
```

***

No. 6
Computed, not measured: an optimized crystal structure of PmSmHg at the PBE level of DFT.

Calculated values
- Calculated total energy: -3.593 eV/atom
- Offset from the most stable computed form: 0.000 eV/atom

Structure (POSCAR):
```
PmSmHg
1.0
-0.190 -1.180 -5.114
5.754 -7.448 1.504
-5.701 -4.168 1.174
Pm Sm Hg
4 4 4
Direct
0.750 0.923 0.173 Pm
0.750 0.577 0.673 Pm
0.250 0.077 0.827 Pm
0.250 0.423 0.327 Pm
0.250 0.805 0.486 Sm
0.750 0.305 0.014 Sm
0.250 0.695 0.986 Sm
0.750 0.195 0.514 Sm
0.750 0.600 0.233 Hg
0.750 0.900 0.733 Hg
0.250 0.100 0.267 Hg
0.250 0.400 0.767 Hg
```

***

No. 7
Computed, not measured: an optimized crystal structure of Mg2ScCo2 at the PBE level of DFT.

Calculated values
- Calculated total energy: -4.609 eV/atom
- Offset from the most stable computed form: 0.071 eV/atom

Structure (POSCAR):
```
Mg2ScCo2
1.0
3.910 0.000 0.000
0.000 3.910 0.000
1.955 1.955 5.578
Sc Mg Co
1 2 2
Direct
0.000 0.000 0.000 Sc
0.750 0.250 0.500 Mg
0.250 0.750 0.500 Mg
0.405 0.405 0.191 Co
0.595 0.595 0.809 Co
```

***

No. 8
Computed, not measured: an optimized crystal structure of TiSiSb3 at the PBE level of DFT.

Calculated values
- Energy relative to the elements, uncorrected: 0.57 eV per atom
- Calculated total energy: -4.571 eV/atom
- Offset from the most stable computed form: 0.000 eV/atom

Structure (POSCAR):
```
TiSiSb3
1.0
5.234 0.000 0.000
0.000 5.234 0.000
0.000 0.000 5.234
Sb Si Ti
3 1 1
Direct
0.000 0.500 0.000 Sb
0.000 0.000 0.500 Sb
0.500 0.000 0.000 Sb
0.500 0.500 0.500 Si
0.000 0.000 0.000 Ti
```

***

No. 9
Computed, not measured: an optimized crystal structure of Pm9SmSc2 at the PBE level of DFT.

Calculated values
- Calculated total energy: -4.977 eV/atom

Structure (POSCAR):
```
Pm9SmSc2
1.0
-4.032 1.487 2.682
1.647 -2.687 3.966
7.765 12.093 4.968
Pm Sm Sc
9 1 2
Direct
0.500 0.500 0.000 Pm
0.500 0.500 0.337 Pm
0.500 0.500 0.663 Pm
0.500 0.000 0.172 Pm
0.500 0.000 0.500 Pm
0.500 0.000 0.828 Pm
0.000 0.500 0.172 Pm
0.000 0.500 0.500 Pm
0.000 0.500 0.828 Pm
0.000 0.000 0.000 Sm
0.000 0.000 0.336 Sc
0.000 0.000 0.664 Sc
```

***

No. 10
Computed, not measured: an optimized crystal structure of Pr6In2Ge at the PBE level of DFT.

Calculated values
- Calculated total energy: -4.721 eV/atom

Structure (POSCAR):
```
Pr6In2Ge
1.0
4.123 0.000 0.000
0.000 8.885 0.000
0.000 -4.443 7.695
Pr In Ge
6 2 1
Direct
0.500 0.608 0.000 Pr
0.500 0.392 0.392 Pr
0.500 0.000 0.608 Pr
0.000 0.259 0.000 Pr
0.000 0.741 0.741 Pr
0.000 0.000 0.259 Pr
0.000 0.333 0.667 In
0.000 0.667 0.333 In
0.500 0.000 0.000 Ge
```

***

No. 11
Computed, not measured: an optimized crystal structure of Ti2VPt at the PBE level of DFT.

Calculated values
- Calculated total energy: -8.276 eV/atom
- Offset from the most stable computed form: 0.000 eV/atom

Structure (POSCAR):
```
Ti2VPt
1.0
3.133 0.000 0.000
0.000 3.133 0.000
0.000 0.000 6.245
Ti Pt V
2 1 1
Direct
0.000 0.000 0.759 Ti
0.000 0.000 0.241 Ti
0.500 0.500 0.500 Pt
0.500 0.500 0.000 V
```

***

No. 12
Computed, not measured: an optimized crystal structure of Tl2HgHPd at the PBE level of DFT.

Calculated values
- Calculated total energy: -2.687 eV/atom
- Offset from the most stable computed form: 0.026 eV/atom

Structure (POSCAR):
```
Tl2HgHPd
1.0
5.486 0.000 0.000
0.000 5.486 0.000
0.000 0.000 3.478
H Tl Hg Pd
1 2 1 1
Direct
0.000 0.000 0.000 H
0.000 0.500 0.000 Tl
0.500 0.000 0.000 Tl
0.500 0.500 0.500 Hg
0.000 0.000 0.500 Pd
```

***

No. 13
Computed, not measured: an optimized crystal structure of La3NdRh2 at the PBE level of DFT.

Calculated values
- Calculated total energy: -6.253 eV/atom
- Offset from the most stable computed form: 0.000 eV/atom

Structure (POSCAR):
```
La3NdRh2
1.0
-5.676 -4.152 0.531
6.786 -3.237 0.386
-1.359 2.780 7.216
La Nd Rh
6 2 4
Direct
0.262 0.000 0.750 La
0.738 0.000 0.250 La
0.779 0.555 0.889 La
0.225 0.445 0.611 La
0.775 0.555 0.389 La
0.221 0.445 0.111 La
0.258 0.000 0.250 Nd
0.742 0.000 0.750 Nd
0.375 0.750 0.438 Rh
0.375 0.750 0.938 Rh
0.625 0.250 0.062 Rh
0.625 0.250 0.562 Rh
```

***

No. 14
Computed, not measured: an optimized crystal structure of HfHgF3 at the PBE level of DFT.

Calculated values
- Energy relative to the elements, uncorrected: -2.40 eV per atom
- Calculated total energy: -5.570 eV/atom
- Offset from the most stable computed form: 0.000 eV/atom

Structure (POSCAR):
```
HfHgF3
1.0
-2.003 3.773 -0.651
-3.285 -2.070 -1.896
-1.967 -0.384 3.828
Hf Hg F
1 1 3
Direct
0.000 0.000 0.000 Hf
0.500 0.500 0.500 Hg
0.000 0.500 0.000 F
0.000 0.000 0.500 F
0.500 0.000 0.000 F
```

***

No. 15
Computed, not measured: an optimized crystal structure of Nd2OsO6 at the PBE level of DFT.

Calculated values
- Energy relative to the elements, uncorrected: -2.34 eV per atom
- Calculated total energy: -7.950 eV/atom
- Offset from the most stable computed form: 0.000 eV/atom

Structure (POSCAR):
```
Nd2OsO6
1.0
5.513 0.000 -0.544
0.000 6.176 0.000
-0.104 0.000 7.641
Nd Os O
4 2 12
Direct
0.960 0.408 0.753 Nd
0.540 0.908 0.747 Nd
0.460 0.092 0.253 Nd
0.040 0.592 0.247 Nd
0.500 0.500 0.000 Os
0.000 0.000 0.500 Os
0.858 0.945 0.264 O
0.866 0.729 0.573 O
0.797 0.656 0.947 O
0.703 0.156 0.553 O
0.634 0.229 0.927 O
0.642 0.445 0.236 O
0.142 0.055 0.736 O
0.134 0.271 0.427 O
0.203 0.344 0.053 O
0.297 0.844 0.447 O
0.366 0.771 0.073 O
0.358 0.555 0.764 O
```

***

No. 16
Computed, not measured: an optimized crystal structure of YInBr2 at the PBE level of DFT.

Calculated values
- Energy relative to the elements, uncorrected: -1.04 eV per atom
- Calculated total energy: -4.176 eV/atom
- Offset from the most stable computed form: 0.000 eV/atom

Structure (POSCAR):
```
YInBr2
1.0
-10.363 3.599 -0.535
-9.528 4.617 2.921
-8.622 6.803 0.079
Y Br In
1 2 1
Direct
0.500 0.500 0.500 Y
0.894 0.894 0.894 Br
0.106 0.106 0.106 Br
0.000 0.000 0.000 In
```

***

No. 17
Computed, not measured: an optimized crystal structure of Al2MoIr2 at the PBE level of DFT.

Calculated values
- Calculated total energy: -7.685 eV/atom

Structure (POSCAR):
```
Al2MoIr2
1.0
-0.085 -0.871 7.166
3.159 -6.448 -0.746
2.524 1.216 0.178
Mo Ir Al
2 4 4
Direct
0.000 0.000 0.000 Mo
0.500 0.500 0.000 Mo
0.166 0.666 0.500 Ir
0.666 0.834 0.500 Ir
0.834 0.334 0.500 Ir
0.334 0.166 0.500 Ir
0.368 0.868 0.000 Al
0.868 0.632 0.000 Al
0.632 0.132 0.000 Al
0.132 0.368 0.000 Al
```

***

No. 18
Computed, not measured: an optimized crystal structure of MnAl2Pt4 at the PBE level of DFT.

Calculated values
- Calculated total energy: -6.517 eV/atom

Structure (POSCAR):
```
MnAl2Pt4
1.0
4.881 -0.454 -1.995
-2.564 4.450 -1.277
-0.261 0.454 5.266
Mn Al Pt
1 2 4
Direct
0.000 0.000 0.000 Mn
0.500 0.500 0.000 Al
0.500 0.000 0.500 Al
0.500 0.000 0.000 Pt
0.500 0.500 0.500 Pt
0.000 0.000 0.500 Pt
0.000 0.500 0.000 Pt
```

***

No. 19
Computed, not measured: an optimized crystal structure of SrRhCl at the PBE level of DFT.

Calculated values
- Energy relative to the elements, uncorrected: -0.61 eV per atom
- Calculated total energy: -4.237 eV/atom
- Offset from the most stable computed form: 0.585 eV/atom

Structure (POSCAR):
```
SrRhCl
1.0
3.729 -2.153 0.000
0.000 4.306 0.000
0.000 0.000 8.145
Sr Rh Cl
2 2 2
Direct
0.000 0.000 0.000 Sr
0.000 0.000 0.500 Sr
0.333 0.667 0.750 Rh
0.667 0.333 0.250 Rh
0.333 0.667 0.250 Cl
0.667 0.333 0.750 Cl
```

***

No. 20
Computed, not measured: an optimized crystal structure of Sr2TaPbO6 at the PBE level of DFT.

Calculated values
- Energy relative to the elements, uncorrected: -2.45 eV per atom
- Calculated total energy: -7.316 eV/atom

Structure (POSCAR):
```
Sr2TaPbO6
1.0
-3.701 2.838 3.841
-5.441 1.859 -1.859
-4.932 -2.637 1.958
Sr Ta Pb O
2 1 1 6
Direct
0.557 0.556 0.331 Sr
0.075 0.075 0.774 Sr
0.316 0.316 0.052 Ta
0.816 0.816 0.552 Pb
0.533 0.176 0.292 O
0.176 0.999 0.295 O
0.999 0.532 0.294 O
0.456 0.634 0.807 O
0.633 0.101 0.808 O
0.100 0.456 0.810 O
```

***

No. 21
Computed, not measured: an optimized crystal structure of HoEr3Al at the PBE level of DFT.

Calculated values
- Calculated total energy: -4.552 eV/atom
- Offset from the most stable computed form: 0.000 eV/atom

Structure (POSCAR):
```
HoEr3Al
1.0
3.550 0.000 0.000
1.775 6.377 0.584
-0.001 0.003 12.335
Ho Er Al
2 6 2
Direct
0.225 0.551 0.749 Ho
0.775 0.449 0.251 Ho
0.141 0.718 0.450 Er
0.365 0.271 0.019 Er
0.034 0.933 0.194 Er
0.859 0.282 0.550 Er
0.966 0.067 0.806 Er
0.635 0.729 0.981 Er
0.551 0.898 0.623 Al
0.449 0.102 0.377 Al
```

***

No. 22
Computed, not measured: an optimized crystal structure of LiCaScIn at the PBE level of DFT.

Calculated values
- Calculated total energy: -3.469 eV/atom

Structure (POSCAR):
```
LiCaScIn
1.0
5.196 0.000 0.000
2.598 4.500 0.000
2.598 1.500 4.243
Sc Ca Li In
1 1 1 1
Direct
0.250 0.250 0.250 Sc
0.750 0.750 0.750 Ca
0.000 0.000 0.000 Li
0.500 0.500 0.500 In
```

***

No. 23
Computed, not measured: an optimized crystal structure of CuHgPd3 at the PBE level of DFT.

Calculated values
- Calculated total energy: -4.094 eV/atom
- Offset from the most stable computed form: 0.000 eV/atom

Structure (POSCAR):
```
CuHgPd3
1.0
4.622 0.000 0.000
0.000 4.873 -0.606
0.000 -1.755 7.283
Cu Hg Pd
2 2 6
Direct
0.250 0.865 0.403 Cu
0.750 0.135 0.597 Cu
0.250 0.268 0.196 Hg
0.750 0.732 0.804 Hg
0.750 0.556 0.411 Pd
0.250 0.444 0.589 Pd
0.750 0.332 0.996 Pd
0.250 0.060 0.780 Pd
0.250 0.668 0.004 Pd
0.750 0.940 0.220 Pd
```

***

No. 24
Computed, not measured: an optimized crystal structure of SrLaW at the PBE level of DFT.

Calculated values
- Calculated total energy: -5.481 eV/atom
- Offset from the most stable computed form: 0.140 eV/atom

Structure (POSCAR):
```
SrLaW
1.0
-0.672 3.451 0.794
-0.128 -2.504 2.590
7.951 1.192 1.545
La Sr W
1 1 1
Direct
0.000 0.000 0.933 La
0.333 0.667 0.384 Sr
0.667 0.333 0.683 W
```

***

No. 25
Computed, not measured: an optimized crystal structure of CeCuBi at the PBE level of DFT.

Calculated values
- Calculated total energy: -4.770 eV/atom

Structure (POSCAR):
```
CeCuBi
1.0
-3.107 -2.775 0.313
0.640 -0.173 4.824
-4.254 5.125 3.205
Ce Bi Cu
2 2 2
Direct
0.250 0.930 0.141 Ce
0.750 0.070 0.859 Ce
0.250 0.261 0.479 Bi
0.750 0.739 0.521 Bi
0.250 0.555 0.891 Cu
0.750 0.445 0.109 Cu
```